Na3TeBr: optimized geometry, PBE.

Computed properties:
* symmetry: Pm-3m, No. 221
* energy above the lowest structure with this stoichiometry: 58 meV/atom
* calculated total energy: -2.7065 eV per atom
* total moment: 0.00 μB/cell

a b c (Å): 5.830 5.830 5.830
angles (deg): 90.00 90.00 90.00
Positions (direct):
Na: 0.000 0.000 0.500
Na: 0.000 0.500 0.000
Na: 0.500 0.000 0.000
Te: 0.000 0.000 0.000
Br: 0.500 0.500 0.500